# Ba2YPb2, single point on PBEsol structure, DFT meta-GGA SCAN
data_Ba2YPb2
_chemical_formula_sum 'Ba2 Y1 Pb2'
_symmetry_space_group_name_H-M 'P 1'
_symmetry_Int_Tables_number 1
_cell_length_a 4.318
_cell_length_b 4.318
_cell_length_c 11.811
_cell_angle_alpha 100.53
_cell_angle_beta 100.53
_cell_angle_gamma 90.00
loop_
_symmetry_equiv_pos_as_xyz
'x,y,z'
loop_
_atom_site_label
_atom_site_type_symbol
_atom_site_fract_x
_atom_site_fract_y
_atom_site_fract_z
_atom_site_occupancy
Pb1 Pb 0.250 0.750 0.500 1
Pb2 Pb 0.750 0.250 0.500 1
Y1 Y 0.000 0.000 0.000 1
Ba1 Ba 0.383 0.383 0.765 1
Ba2 Ba 0.617 0.617 0.235 1
# energy: -51.6802 eV/atom
# Fermi-level density of states: 4.2 states/eV/f.u.
# E_form: 0.021 eV/atom
# size of the total moment: 2.630 μB per formula unit